# 1
This record from Alexandria via LeMat-Bulk describes an optimized crystal structure of Nd6InGe2. The functional is GGA-PBE.

a = 8.890 Å, b = 8.890 Å, c = 8.890 Å
α = 112.01°, β = 109.80°, γ = 106.65°
Fractional coordinates of all 18 atoms:
Nd 0.044 0.246 0.798
Nd 0.182 0.275 0.457
Nd 0.182 0.725 0.907
Nd 0.325 0.030 0.706
Nd 0.325 0.619 0.294
Nd 0.449 0.246 0.202
Nd 0.551 0.754 0.798
Nd 0.675 0.381 0.706
Nd 0.675 0.970 0.294
Nd 0.818 0.275 0.093
Nd 0.818 0.725 0.543
Nd 0.956 0.754 0.202
In 0.000 0.000 0.000
In 0.500 0.500 0.000
Ge 0.119 0.619 0.500
Ge 0.361 0.000 0.361
Ge 0.639 0.000 0.639
Ge 0.881 0.381 0.500

Calculated values
E in eV/cell: -90.6
V in Å³/cell: 539.6
Density of states at the Fermi level in states/eV per cell: 16.31
E_form in kJ/mol of formula units: -457
Space-group type: Immm (71)
Spin magnetization in Bohr magnetons per cell: 0.0


# 2
This record from Alexandria via LeMat-Bulk describes an optimized crystal structure of Li3Cu2F8. The functional is GGA-PBE.

a = 5.574 Å, b = 5.815 Å, c = 6.064 Å
α = 64.11°, β = 64.68°, γ = 86.46°
Fractional coordinates of all 13 atoms:
Li 0.000 0.000 0.000
Li 0.052 0.529 0.463
Li 0.379 0.418 0.715
Cu 0.681 0.963 0.604
Cu 0.694 0.460 0.103
F 0.391 0.062 0.838
F 0.421 0.552 0.355
F 0.510 0.592 0.841
F 0.538 0.097 0.327
F 0.860 0.831 0.866
F 0.869 0.334 0.383
F 0.950 0.855 0.362
F 0.983 0.367 0.847

Calculated values
E in eV/cell: -56.7
V in Å³/cell: 157.9
Density of states at the Fermi level in states/eV per cell: 3.90
Space-group type: P1 (1)
Spin magnetization in Bohr magnetons per cell: 3.0
Energy relative to the elements, uncorrected in meV per atom: -2137


# 3
This record from Alexandria via LeMat-Bulk describes an optimized crystal structure of Tc2NiW. The functional is GGA-PBE.

a = 6.109 Å, b = 6.109 Å, c = 6.109 Å
α = 90.00°, β = 90.00°, γ = 90.00°
Fractional coordinates of all 16 atoms:
Tc 0.250 0.250 0.250
Tc 0.250 0.250 0.750
Tc 0.250 0.750 0.250
Tc 0.250 0.750 0.750
Tc 0.750 0.250 0.250
Tc 0.750 0.250 0.750
Tc 0.750 0.750 0.250
Tc 0.750 0.750 0.750
Ni 0.000 0.000 0.000
Ni 0.000 0.500 0.500
Ni 0.500 0.000 0.500
Ni 0.500 0.500 0.000
W 0.000 0.000 0.500
W 0.000 0.500 0.000
W 0.500 0.000 0.000
W 0.500 0.500 0.500

Calculated values
E in eV/cell: -155.8
V in Å³/cell: 228.0
Density of states at the Fermi level in states/eV per cell: 30.36
E_form in kJ/mol of formula units: 50
Space-group type: Fm-3m (225)
Spin magnetization in Bohr magnetons per cell: 0.0


# 4
This record from Alexandria via LeMat-Bulk describes an optimized crystal structure of LiCuRh. The functional is GGA-PBE.

a = 7.925 Å, b = 4.680 Å, c = 4.980 Å
α = 90.00°, β = 124.68°, γ = 90.00°
Fractional coordinates of all 12 atoms:
Li 0.000 0.240 0.000
Li 0.000 0.760 0.000
Li 0.500 0.260 0.000
Li 0.500 0.740 0.000
Cu 0.159 0.500 0.779
Cu 0.341 0.000 0.221
Cu 0.659 0.000 0.779
Cu 0.841 0.500 0.221
Rh 0.182 0.000 0.556
Rh 0.318 0.500 0.444
Rh 0.682 0.500 0.556
Rh 0.818 0.000 0.444

Calculated values
E in eV/cell: -53.0
V in Å³/cell: 151.9
Density of states at the Fermi level in states/eV per cell: 7.76
E_form in kJ/mol of formula units: 11
Space-group type: C2/m (12)
Spin magnetization in Bohr magnetons per cell: 0.0


# 5
This record from Alexandria via LeMat-Bulk describes an optimized crystal structure of Ti2GaCuPd. The functional is GGA-PBE.

a = 4.712 Å, b = 4.712 Å, c = 4.295 Å
α = 90.00°, β = 90.00°, γ = 90.00°
Fractional coordinates of all 5 atoms:
Ti 0.000 0.500 0.000
Ti 0.500 0.000 0.000
Ga 0.000 0.000 0.000
Cu 0.000 0.000 0.500
Pd 0.500 0.500 0.500

Calculated values
E in eV/cell: -25.2
V in Å³/cell: 95.4
Density of states at the Fermi level in states/eV per cell: 6.78
E_form in kJ/mol of formula units: 279
Space-group type: P4/mmm (123)
Spin magnetization in Bohr magnetons per cell: 0.0


# 6
This record from Alexandria via LeMat-Bulk describes an optimized crystal structure of PuZnSnPd. The functional is GGA-PBE.

a = 6.909 Å, b = 6.909 Å, c = 6.909 Å
α = 90.00°, β = 90.00°, γ = 90.00°
Fractional coordinates of all 16 atoms:
Pu 0.000 0.000 0.000
Pu 0.000 0.500 0.500
Pu 0.500 0.000 0.500
Pu 0.500 0.500 0.000
Zn 0.250 0.250 0.250
Zn 0.250 0.750 0.750
Zn 0.750 0.250 0.750
Zn 0.750 0.750 0.250
Sn 0.250 0.250 0.750
Sn 0.250 0.750 0.250
Sn 0.750 0.250 0.250
Sn 0.750 0.750 0.750
Pd 0.000 0.000 0.500
Pd 0.000 0.500 0.000
Pd 0.500 0.000 0.000
Pd 0.500 0.500 0.500

Calculated values
E in eV/cell: -103.3
V in Å³/cell: 329.8
Density of states at the Fermi level in states/eV per cell: 50.44
E_form in kJ/mol of formula units: -98
Space-group type: F-43m (216)
Spin magnetization in Bohr magnetons per cell: 23.0